Material: InGePd2
Method: DFT, PBE
State: relaxed

Unit cell a=4.592 b=4.592 c=3.251 alpha=90.00 beta=90.00 gamma=90.00
Space group P4/mmm (No. 123)
Unique sites:
In: 0.000 0.000 0.000 [1 per cell]
Ge: 0.500 0.500 0.000 [1 per cell]
Pd: 0.000 0.500 0.500 [2 per cell]

Results
DOS at the Fermi energy: 1.53 states/eV per cell
ΔH_f (0 K): -1.37 eV per formula unit